# 1
Entry from Alexandria: a relaxed structure of CdMo2Os (GGA-PBE).

Computed properties:
DOS at the Fermi energy (states/eV per atom): 0.891
Total DFT energy (no corrections) (eV/atom): -8.0147

```
CdMo2Os
1.0
5.360 -0.005 -0.001
2.555 4.712 0.001
-3.493 -3.135 2.589
Mo Os Cd
2 1 1
direct
0.987 0.987 0.000 Mo
0.513 0.513 0.000 Mo
0.750 0.250 0.500 Os
0.250 0.750 0.500 Cd
```

***

# 2
Entry from Alexandria: a relaxed structure of DyLuNiPt (GGA-PBE).

Computed properties:
DOS at the Fermi energy (states/eV per atom): 0.753
Total DFT energy (no corrections) (eV/atom): -6.0931

```
DyLuNiPt
1.0
-2.988 1.107 3.620
-4.151 -2.399 0.519
-0.570 -3.065 3.679
Dy Pt Lu Ni
1 1 1 1
direct
0.000 0.000 0.000 Dy
0.750 0.750 0.750 Pt
0.500 0.500 0.500 Lu
0.250 0.250 0.250 Ni
```

***

# 3
Entry from Alexandria: a relaxed structure of Th4GaPtS2 (GGA-PBE).

Computed properties:
Raw formation energy (eV/f.u.): -9.9
DOS at the Fermi energy (states/eV per atom): 0.840

```
Th4GaPtS2
1.0
-0.374 -3.911 1.323
7.117 -0.426 0.750
1.876 2.129 6.821
Th S Ga Pt
4 2 1 1
direct
0.000 0.747 0.755 Th
0.000 0.253 0.245 Th
0.500 0.758 0.245 Th
0.500 0.242 0.755 Th
0.500 0.000 0.500 S
0.000 0.000 0.000 S
0.000 0.500 0.500 Ga
0.500 0.500 0.000 Pt
```